# 1
A relaxed Ac2CeGd crystal, computed with GGA-PBE.

Spin magnetization ... 8.58 μB per formula unit
Formation enthalpy at 0 K ... 0.12 eV per atom
Excess energy over the best structure of this formula in the dataset ... 17.0 meV/atom
Total energy ... -27.75 eV per cell

Cell and atoms, written as POSCAR:
```
Ac2CeGd
1.0
5.384 0.000 0.000
0.000 5.384 0.000
0.000 0.000 5.233
Ac Ce Gd
2 1 1
Cartesian
0.000 2.692 0.000
2.692 0.000 0.000
0.000 0.000 2.617
2.692 2.692 2.617
```


# 2
A relaxed Ba2Tl3CdHg4 crystal, computed with GGA-PBE.

Spin magnetization ... 0.00 μB per formula unit
Formation enthalpy at 0 K ... -0.28 eV per atom
Total energy ... -15.91 eV per cell

Cell and atoms, written as POSCAR:
```
Ba2Tl3CdHg4
1.0
5.026 0.000 0.000
0.000 5.026 0.000
0.000 0.000 12.515
Ba Tl Cd Hg
2 3 1 4
Cartesian
0.000 2.513 3.088
2.513 0.000 9.428
0.000 2.513 10.834
2.513 0.000 1.681
2.513 2.513 6.258
0.000 0.000 6.258
0.000 0.000 0.000
0.000 2.513 7.896
2.513 0.000 4.620
2.513 2.513 0.000
```